<1>
Mg2Ag3Hg | PBE | relaxed

a = 4.207 Å, b = 6.724 Å, c = 9.070 Å
α = 99.49°, β = 103.06°, γ = 108.90°
Positions (direct):
1 Hg 0.007 0.877 0.129
2 Hg 0.993 0.123 0.871
3 Ag 0.666 0.708 0.623
4 Ag 0.992 0.370 0.616
5 Ag 0.337 0.542 0.130
6 Ag 0.334 0.292 0.377
7 Ag 0.008 0.630 0.384
8 Ag 0.663 0.458 0.870
9 Mg 0.340 0.053 0.629
10 Mg 0.317 0.765 0.869
11 Mg 0.660 0.947 0.371
12 Mg 0.683 0.235 0.131

Computed properties:
symmetry	No. 2
M_tot	0.0	μB/f.u.

=====

<2>
Mg2Ag3Hg | PBE | relaxed

a = 4.222 Å, b = 7.865 Å, c = 8.680 Å
α = 123.47°, β = 90.00°, γ = 105.57°
Positions (direct):
1 Hg 0.091 0.181 0.967
2 Hg 0.909 0.819 0.033
3 Ag 0.251 0.502 0.381
4 Ag 0.585 0.170 0.706
5 Ag 0.749 0.498 0.619
6 Ag 0.918 0.836 0.542
7 Ag 0.082 0.164 0.458
8 Ag 0.415 0.830 0.294
9 Mg 0.582 0.164 0.227
10 Mg 0.243 0.486 0.853
11 Mg 0.757 0.514 0.147
12 Mg 0.418 0.836 0.773

Computed properties:
symmetry	No. 12
M_tot	0.0	μB/f.u.

=====

Relative stability in meV per atom, measured from the most stable structure: <1> 17; <2> 0

=====

<1>
Mg4AgHg | PBE | relaxed

a = 3.327 Å, b = 5.507 Å, c = 7.727 Å
α = 104.26°, β = 77.57°, γ = 72.42°
Positions (direct):
1 Mg 0.841 0.500 0.819
2 Mg 0.317 0.029 0.337
3 Mg 0.159 0.500 0.181
4 Mg 0.683 0.971 0.663
5 Ag 0.500 0.500 0.500
6 Hg 0.000 0.000 0.000

Computed properties:
symmetry	No. 12
M_tot	0.0	μB/f.u.

=====

<2>
Mg4AgHg | PBE | relaxed

a = 5.699 Å, b = 5.699 Å, c = 5.699 Å
α = 60.00°, β = 60.00°, γ = 60.00°
Positions (direct):
1 Mg 0.375 0.375 0.375
2 Mg 0.375 0.375 0.875
3 Mg 0.875 0.375 0.375
4 Mg 0.375 0.875 0.375
5 Hg 0.000 0.000 0.000
6 Ag 0.750 0.750 0.750

Computed properties:
symmetry	No. 216
M_tot	0.0	μB/f.u.

=====

Relative stability in meV per atom, measured from the most stable structure: <1> 0; <2> 240

=====

<1>
MgAg4Hg | PBE | relaxed

a = 5.159 Å, b = 5.162 Å, c = 5.135 Å
α = 99.55°, β = 80.39°, γ = 60.37°
Positions (direct):
1 Ag 0.170 0.170 0.500
2 Ag 0.335 0.335 0.000
3 Ag 0.830 0.830 0.500
4 Ag 0.665 0.665 0.000
5 Hg 0.000 0.000 0.000
6 Mg 0.500 0.500 0.500

Computed properties:
symmetry	No. 12
M_tot	0.0	μB/f.u.

=====

<2>
MgAg4Hg | PBE | relaxed

a = 5.555 Å, b = 5.555 Å, c = 5.555 Å
α = 60.00°, β = 60.00°, γ = 60.00°
Positions (direct):
1 Mg 0.000 0.000 0.000
2 Ag 0.876 0.375 0.375
3 Ag 0.375 0.375 0.876
4 Ag 0.375 0.876 0.375
5 Ag 0.375 0.375 0.375
6 Hg 0.750 0.750 0.750

Computed properties:
symmetry	No. 216
M_tot	0.0	μB/f.u.

=====

Relative stability in meV per atom, measured from the most stable structure: <1> 0; <2> 88